A plane-wave DFT calculation with meta-GGA SCAN was carried out for CdMoRu2 at its PBEsol-relaxed geometry.

Lattice parameters (Å, degrees): 2.759 4.005 5.495 90.00 90.00 90.00
Sites, in units of the cell vectors:
Cd 0.000 0.000 0.000
Mo 0.500 0.500 0.297
Ru 0.000 0.000 0.501
Ru 0.500 0.500 0.737

Computed properties:
Uncorrected energy in eV per atom: -33.409
SG: Pmm2 (25)
E_form in eV per atom: 0.33